First-principles (PBE-GGA) data for a geometry-optimized CsK2BaHg structure, as listed in Alexandria via LeMat-Bulk.

a b c (Å): 7.0567 7.0567 6.7084
angles (deg): 90.00 90.00 90.00
Last column: nearest neighbours and their distance in Å.
Space group P4/mmm (No. 123)
Asymmetric unit:
Cs 0.0000 0.0000 0.0000 (multiplicity 1)  8 K 4.87, 4 Ba 4.99
K 0.0000 0.5000 0.5000 (multiplicity 2)  2 Hg 3.53
Ba 0.5000 0.5000 0.0000 (multiplicity 1)  2 Hg 3.35
Hg 0.5000 0.5000 0.5000 (multiplicity 1)  2 Ba 3.35, 4 K 3.53

As for the final energy: -0.0830 Ry/atom. For the energy relative to the elements, the calculation gives -0.07 eV/atom. For the density of states at the Fermi level, the calculation gives 3.67 states/eV/cell. The total magnetization is 0.0 μB/f.u. Its crystal system is tetragonal. The value obtained for the calculated density is 2.73 Mg/m³.

***

First-principles (PBE-GGA) data for a geometry-optimized CsKBa2Hg structure, as listed in Alexandria via LeMat-Bulk.

a b c (Å): 6.7772 6.7772 7.2285
angles (deg): 90.00 90.00 90.00
Last column: nearest neighbours and their distance in Å.
Space group P4/mmm (No. 123)
Asymmetric unit:
Cs 0.0000 0.0000 0.0000 (multiplicity 1)  4 K 4.79, 8 Ba 4.95
K 0.5000 0.5000 0.0000 (multiplicity 1)  2 Hg 3.61
Ba 0.0000 0.5000 0.5000 (multiplicity 2)  2 Hg 3.39
Hg 0.5000 0.5000 0.5000 (multiplicity 1)  4 Ba 3.39, 2 K 3.61

Its polymorph energy (0 for the lowest one) is 0 meV per atom. As for the final energy: -0.0962 Ry/atom. For the energy relative to the elements, the calculation gives -0.09 eV/atom. For the density of states at the Fermi level, the calculation gives 5.62 states/eV/cell. The total magnetization is 0.0 μB/f.u. Its crystal system is tetragonal. The value obtained for the calculated density is 3.24 Mg/m³.

***

First-principles (PBE-GGA) data for a geometry-optimized CsKBa2Hg structure, as listed in Alexandria via LeMat-Bulk.

a b c (Å): 6.7824 6.7824 7.4634
angles (deg): 90.00 90.00 90.00
Last column: nearest neighbours and their distance in Å.
Space group P4/mmm (No. 123)
Asymmetric unit:
Cs 0.0000 0.0000 0.0000 (multiplicity 1)  2 Hg 3.73
K 0.5000 0.5000 0.0000 (multiplicity 1)  4 Cs 4.80, 8 Ba 5.04
Ba 0.0000 0.5000 0.5000 (multiplicity 2)  2 Hg 3.39
Hg 0.0000 0.0000 0.5000 (multiplicity 1)  4 Ba 3.39, 2 Cs 3.73

Its polymorph energy (0 for the lowest one) is 12 meV per atom. As for the final energy: -0.0953 Ry/atom. For the energy relative to the elements, the calculation gives -0.08 eV/atom. For the density of states at the Fermi level, the calculation gives 4.38 states/eV/cell. The total magnetization is 0.0 μB/f.u. Its crystal system is tetragonal. The value obtained for the calculated density is 3.13 Mg/m³.

***

First-principles (PBE-GGA) data for a geometry-optimized Cs2KBaHg structure, as listed in Alexandria via LeMat-Bulk.

a b c (Å): 7.4102 7.4102 6.9027
angles (deg): 90.00 90.00 90.00
Last column: nearest neighbours and their distance in Å.
Space group P4/mmm (No. 123)
Asymmetric unit:
Cs 0.0000 0.5000 0.0000 (multiplicity 2)  2 Hg 3.71
K 0.0000 0.0000 0.5000 (multiplicity 1)  8 Cs 5.06, 4 Ba 5.24
Ba 0.5000 0.5000 0.5000 (multiplicity 1)  2 Hg 3.45
Hg 0.5000 0.5000 0.0000 (multiplicity 1)  2 Ba 3.45, 4 Cs 3.71

As for the final energy: -0.0775 Ry/atom. For the energy relative to the elements, the calculation gives -0.05 eV/atom. For the density of states at the Fermi level, the calculation gives 5.03 states/eV/cell. The total magnetization is 0.0 μB/f.u. Its crystal system is tetragonal. The value obtained for the calculated density is 2.82 Mg/m³.